1.
Computed, not measured: an optimized crystal structure of BaSnHgAs2 at the PBE level of DFT.

Computed properties:
Its crystal system is monoclinic. Its electronic total energy is -3.532 eV/atom. As for the total moment: 0.00 μB per formula unit. As for the space-group type: C2/m (12).

abc: 4.635 9.061 8.354
angles: 68.88 73.90 75.18
Element x y z (fractional)
Ba 0.782 0.691 0.746
Ba 0.218 0.309 0.254
Sn 0.084 0.061 0.771
Sn 0.916 0.939 0.229
Hg 0.442 0.392 0.723
Hg 0.558 0.608 0.277
As 0.334 0.904 0.429
As 0.666 0.096 0.571
As 0.884 0.238 0.995
As 0.116 0.762 0.005

---

2.
Computed, not measured: an optimized crystal structure of TbTm2UAs4 at the PBE level of DFT.

Computed properties:
Its crystal system is monoclinic. Its electronic total energy is -6.745 eV/atom. As for the total moment: 2.35 μB per formula unit. As for the space-group type: P2/m (10).

abc: 4.072 7.075 7.070
angles: 109.21 90.00 90.00
Element x y z (fractional)
Tb 0.500 0.500 0.000
Tm 0.500 0.000 0.500
Tm 0.000 0.500 0.500
U 0.000 0.000 0.000
As 0.500 0.249 0.252
As 0.500 0.751 0.748
As 0.000 0.245 0.748
As 0.000 0.755 0.252

---

The DFT formation energy results, record by record, are as follows: -0.43, -1.31 eV/atom.